This record from Alexandria describes crystalline YRuCl2 at its relaxed geometry. The functional is PBE. Values from VASP.

Quantum ESPRESSO input file:
```
&SYSTEM
  ibrav = 0, nat = 4, ntyp = 3
/
ATOMIC_SPECIES
Y 88.91 Y.upf
Ru 101.07 Ru.upf
Cl 35.45 Cl.upf
ATOMIC_POSITIONS crystal
Y 0.769 0.769 0.852
Ru 0.414 0.414 0.576
Cl 0.045 0.045 0.816
Cl 0.273 0.273 0.256
CELL_PARAMETERS angstrom
-1.576 2.737 -4.495
-4.376 1.453 -2.987
-0.705 4.746 2.731
```

Computed properties:
theoretical density = 4.39 g/cm³
symmetry = Cm, No. 8
VASP energy = -5.543 eV per atom